Record 1
Density functional theory data (GGA-PBE) for La5B2N5 after structural relaxation.

The structure belongs to space group C2/m (No. 12); the cell edges are 13.3329, 3.6378 and 9.8469 Å and the angles 90.00°, 113.48° and 90.00°. Symmetry generates all atoms from La at (0.0000, 0.0000, 0.0000), La at (0.1030, 0.0000, 0.4283), La at (0.2249, 0.0000, 0.8034), B at (0.0359, 0.5000, 0.8121), N at (0.0000, 0.5000, 0.5000), N at (0.1230, 0.5000, 0.9443) and N at (0.2335, 0.0000, 0.3152).

The total DFT energy (no corrections) is -7.484 eV/atom. Its formation energy without anion corrections is -81.9 kJ per mole of atoms.

=====

Record 2
Density functional theory data (GGA-PBE) for TaNiHg4 after structural relaxation.

The structure belongs to space group F-43m (No. 216); the cell edges are 7.9625, 7.9625 and 7.9625 Å and the angles 90.00°, 90.00° and 90.00°. Symmetry generates all atoms from Ta at (0.0000, 0.0000, 0.0000), Ni at (0.2500, 0.2500, 0.2500) and Hg at (0.1250, 0.1250, 0.6250).

The total DFT energy (no corrections) is -2.189 eV/atom. For the formation energy, the calculation gives 952 meV/atom.

=====

Record 3
Density functional theory data (GGA-PBE) for YMoOs2 after structural relaxation.

The structure belongs to space group R-3m (No. 166, hexagonal axes); the cell edges are 2.8805, 2.8805 and 28.3984 Å and the angles 90.00°, 90.00° and 120.00°. Symmetry generates all atoms from Y at (0.0000, 0.0000, 0.0000), Mo at (0.0000, 0.0000, 0.5000) and Os at (0.0000, 0.0000, 0.2424).

The total DFT energy (no corrections) is -9.511 eV/atom. For the formation energy, the calculation gives 427 meV/atom. The calculation puts the energy above the most stable polymorph in this dataset at 353 meV/atom.

=====

Record 4
Density functional theory data (GGA-PBE) for Ca3Bi4Pd8 after structural relaxation.

The structure belongs to space group Fm-3m (No. 225); the cell edges are 13.6470, 13.6470 and 13.6470 Å and the angles 90.00°, 90.00° and 90.00°. Symmetry generates all atoms from Ca at (0.0000, 0.0000, 0.2285), Bi at (0.0000, 0.0000, 0.0000), Bi at (0.0000, 0.0000, 0.5000), Bi at (0.0000, 0.2500, 0.2500), Pd at (0.1211, 0.1211, 0.3789) and Pd at (0.1711, 0.1711, 0.1711).

The total DFT energy (no corrections) is -4.746 eV/atom. For the formation energy, the calculation gives -541 meV/atom.

=====

Record 5
Density functional theory data (GGA-PBE) for UMoP after structural relaxation.

The structure belongs to space group Cm (No. 8); the cell edges are 9.9912, 3.5633 and 5.8251 Å and the angles 90.00°, 95.16° and 90.00°. Symmetry generates all atoms from U at (0.0000, 0.0000, 0.0000), U at (0.1606, 0.5000, 0.2096), Mo at (0.1691, 0.5000, 0.6954), Mo at (0.3697, 0.0000, 0.5189), P at (0.0310, 0.0000, 0.4822) and P at (0.2965, 0.0000, 0.9248).

The total DFT energy (no corrections) is -9.604 eV/atom. For the formation energy, the calculation gives -427 meV/atom.

=====

Record 6
Density functional theory data (GGA-PBE) for Li2CuRh after structural relaxation.

The structure belongs to space group I-42d (No. 122); the cell edges are 6.5771, 6.5771 and 5.0162 Å and the angles 90.00°, 90.00° and 90.00°. Symmetry generates all atoms from Li at (0.2414, 0.7500, 0.1250), Cu at (0.0000, 0.0000, 0.0000) and Rh at (0.0000, 0.0000, 0.5000).

The total DFT energy (no corrections) is -3.643 eV/atom. For the formation energy, the calculation gives 176 meV/atom. The calculation puts the energy above the most stable polymorph in this dataset at 305 meV/atom.

=====

Record 7
Density functional theory data (GGA-PBE) for Ca2Pm2Pr7 after structural relaxation.

The structure belongs to space group C2/m (No. 12); the cell edges are 10.9958, 9.0018 and 8.5457 Å and the angles 90.00°, 104.41° and 90.00°. Symmetry generates all atoms from Ca at (0.0557, 0.0000, 0.3193), Pm at (0.0000, 0.2779, 0.0000), Pr at (0.0000, 0.5000, 0.5000), Pr at (0.2265, 0.1946, 0.6860) and Pr at (0.2487, 0.5000, 0.9345).

The total DFT energy (no corrections) is -4.073 eV/atom. For the formation energy, the calculation gives 196 meV/atom.

=====

Record 8
Density functional theory data (GGA-PBE) for PrLu3Ru after structural relaxation.

The structure belongs to space group Pm-3m (No. 221); the cell edges are 5.3076, 5.3076 and 5.3076 Å and the angles 90.00°, 90.00° and 90.00°. Symmetry generates all atoms from Pr at (0.0000, 0.0000, 0.0000), Lu at (0.0000, 0.5000, 0.5000) and Ru at (0.5000, 0.5000, 0.5000).

The total DFT energy (no corrections) is -5.681 eV/atom. For the formation energy, the calculation gives -157 meV/atom.

=====

Question: Which value of total DFT energy (no corrections) does entry 8 give?
Answer: -5.681 eV/atom